Material: CsRbBiSb
Method: DFT, PBE-GGA
State: optimized geometry

Computed properties:
Volume (Å³ per atom): 56.31
DOS at the Fermi energy (states/eV per cell): 1.546
Formation energy from raw total energies (eV/f.u.): -0.8

abc: 7.5559 7.5559 7.5559
angles: 140.39 123.39 71.29
Positions (direct):
Cs 0.0000 0.0000 0.0000
Rb 0.6646 0.6646 0.0000
Bi 0.4264 0.9264 0.5000
Sb 0.3040 0.3040 0.0000


Material: Li5Ac4Pt6
Method: DFT, PBE-GGA
State: optimized geometry

Computed properties:
Volume (Å³ per atom): 23.00
DOS at the Fermi energy (states/eV per cell): 14.758
DFT formation energy (eV per atom): -0.784

abc: 10.4187 10.4187 15.7687
angles: 90.00 90.00 156.23
Positions (direct):
Li 0.0668 0.9332 0.5000
Li 0.1466 0.8534 0.8304
Li 0.1605 0.8395 0.0890
Li 0.2012 0.7988 0.4560
Li 0.3446 0.6554 0.4617
Li 0.6554 0.3446 0.9617
Li 0.7988 0.2012 0.9560
Li 0.8395 0.1605 0.5890
Li 0.8534 0.1466 0.3304
Li 0.9332 0.0668 0.0000
Ac 0.3161 0.6839 0.7785
Ac 0.3308 0.6692 0.1409
Ac 0.4716 0.5284 0.6007
Ac 0.4913 0.5087 0.3419
Ac 0.5087 0.4913 0.8419
Ac 0.5284 0.4716 0.1007
Ac 0.6692 0.3308 0.6409
Ac 0.6839 0.3161 0.2785
Pt 0.0615 0.9385 0.6920
Pt 0.0656 0.9344 0.9657
Pt 0.0769 0.9231 0.2337
Pt 0.2716 0.7284 0.5972
Pt 0.2837 0.7163 0.3218
Pt 0.3832 0.6168 0.9548
Pt 0.6168 0.3832 0.4548
Pt 0.7163 0.2837 0.8218
Pt 0.7284 0.2716 0.0972
Pt 0.9231 0.0769 0.7337
Pt 0.9344 0.0656 0.4657
Pt 0.9385 0.0615 0.1920


Material: BaPt2Au
Method: DFT, PBE-GGA
State: optimized geometry

Computed properties:
Volume (Å³ per atom): 28.99
DOS at the Fermi energy (states/eV per cell): 5.749
DFT formation energy (eV per atom): -0.418
Relative energy among the computed polymorphs (eV per atom): 0.130

abc: 9.9602 9.9602 9.9602
angles: 150.99 150.99 41.50
Positions (direct):
Ba 0.0000 0.0000 0.0000
Ba 0.7500 0.2500 0.5000
Pt 0.3280 0.6250 0.2030
Pt 0.3750 0.5780 0.7030
Pt 0.4220 0.1250 0.7970
Pt 0.8750 0.6720 0.2970
Au 0.2500 0.7500 0.5000
Au 0.5000 0.5000 0.0000


Material: Ho6GaNi
Method: DFT, PBE-GGA
State: optimized geometry

Computed properties:
Volume (Å³ per atom): 28.55
DOS at the Fermi energy (states/eV per cell): 10.540
DFT formation energy (eV per atom): -0.065

abc: 6.5729 6.5729 6.5891
angles: 101.66 101.66 118.98
Positions (direct):
Ho 0.0400 0.4192 0.2448
Ho 0.2348 0.2348 0.7676
Ho 0.4192 0.0400 0.2448
Ho 0.5808 0.9600 0.7552
Ho 0.7652 0.7652 0.2324
Ho 0.9600 0.5808 0.7552
Ga 0.5000 0.5000 0.5000
Ni 0.0000 0.0000 0.0000


Material: AlCd2P
Method: DFT, PBE-GGA
State: optimized geometry

Computed properties:
Volume (Å³ per atom): 20.39
DOS at the Fermi energy (states/eV per cell): 2.021
DFT formation energy (eV per atom): 0.266
Relative energy among the computed polymorphs (eV per atom): 0.307

abc: 3.9214 3.9214 5.3031
angles: 90.00 90.00 90.00
Positions (direct):
Al 0.0000 0.0000 0.0000
Cd 0.0000 0.5000 0.5000
Cd 0.5000 0.0000 0.5000
P 0.5000 0.5000 0.0000


Material: Ba4Pb2Br
Method: DFT, PBE-GGA
State: optimized geometry

Computed properties:
Volume (Å³ per atom): 48.77
DOS at the Fermi energy (states/eV per cell): 4.710
Relative energy among the computed polymorphs (eV per atom): 0.000
Formation energy from raw total energies (eV/f.u.): -5.6

abc: 8.7561 8.7568 8.9049
angles: 89.78 89.92 90.00
Positions (direct):
Ba 0.0000 0.0000 0.0000
Ba 0.0004 0.0018 0.5380
Ba 0.9995 0.4708 0.9993
Ba 0.0005 0.4723 0.5371
Ba 0.4708 0.0003 0.9998
Ba 0.4709 0.4709 0.9988
Ba 0.4713 0.4725 0.5367
Ba 0.4717 0.0017 0.5376
Pb 0.2356 0.2363 0.2684
Pb 0.2356 0.2363 0.7684
Pb 0.2357 0.7363 0.7684
Pb 0.7357 0.2363 0.7684
Br 0.7351 0.7351 0.0592
Br 0.7362 0.7375 0.4787


Material: Ce3Ge4Ru
Method: DFT, PBE-GGA
State: optimized geometry

Computed properties:
Volume (Å³ per atom): 21.66
DOS at the Fermi energy (states/eV per cell): 13.903
DFT formation energy (eV per atom): -0.608

abc: 10.1864 10.1864 3.9063
angles: 90.00 90.00 154.69
Positions (direct):
Ce 0.0000 0.0000 0.0000
Ce 0.1562 0.8438 0.5000
Ce 0.8438 0.1562 0.5000
Ge 0.2786 0.7214 0.0000
Ge 0.4058 0.5942 0.0000
Ge 0.5942 0.4058 0.0000
Ge 0.7214 0.2786 0.0000
Ru 0.5000 0.5000 0.5000


Material: Dy2TlHg6
Method: DFT, PBE-GGA
State: optimized geometry

Computed properties:
Volume (Å³ per atom): 25.10
DOS at the Fermi energy (states/eV per cell): 4.855
DFT formation energy (eV per atom): -0.228

abc: 8.7807 8.7807 3.3842
angles: 90.00 90.00 59.99
Positions (direct):
Dy 0.1667 0.1667 0.0000
Dy 0.8333 0.8333 0.0000
Tl 0.5000 0.5000 0.0000
Hg 0.1652 0.5000 0.4977
Hg 0.1651 0.8349 0.5000
Hg 0.5000 0.1652 0.4977
Hg 0.5000 0.8348 0.5023
Hg 0.8349 0.1651 0.5000
Hg 0.8348 0.5000 0.5023


Material: Na2AlReB
Method: DFT, PBE-GGA
State: optimized geometry

Computed properties:
Volume (Å³ per atom): 26.54
DOS at the Fermi energy (states/eV per cell): 3.414
DFT formation energy (eV per atom): 1.998

abc: 5.2843 5.2843 4.7527
angles: 90.00 90.00 90.00
Positions (direct):
Na 0.0000 0.5000 0.0000
Na 0.5000 0.0000 0.0000
Al 0.0000 0.0000 0.0000
Re 0.0000 0.0000 0.5000
B 0.5000 0.5000 0.5000


Material: Pr3GePCl
Method: DFT, PBE-GGA
State: optimized geometry

Computed properties:
Volume (Å³ per atom): 27.74
DOS at the Fermi energy (states/eV per cell): 6.586
Formation energy from raw total energies (eV/f.u.): -7.8

abc: 7.4086 4.1581 11.0628
angles: 90.00 102.33 90.00
Positions (direct):
Pr 0.0421 0.2500 0.1602
Pr 0.2168 0.7500 0.5053
Pr 0.4488 0.7500 0.8491
Pr 0.5512 0.2500 0.1509
Pr 0.7832 0.2500 0.4947
Pr 0.9579 0.7500 0.8398
Ge 0.1453 0.2500 0.6899
Ge 0.8547 0.7500 0.3101
P 0.2671 0.7500 0.0613
P 0.7329 0.2500 0.9387
Cl 0.3777 0.2500 0.3705
Cl 0.6223 0.7500 0.6295


Material: MgWCl2
Method: DFT, PBE-GGA
State: optimized geometry

Computed properties:
Volume (Å³ per atom): 17.53
DOS at the Fermi energy (states/eV per cell): 2.950
Relative energy among the computed polymorphs (eV per atom): 0.844
Formation energy from raw total energies (eV/f.u.): 2.6

abc: 4.9015 4.9015 3.0189
angles: 90.00 90.00 104.85
Positions (direct):
Mg 0.0000 0.0000 0.0000
W 0.5000 0.5000 0.0000
Cl 0.0000 0.5000 0.5000
Cl 0.5000 0.0000 0.5000


The highest DOS at the Fermi energy belongs to which entry? Li5Ac4Pt6


The highest volume belongs to which entry? CsRbBiSb